# 1
A relaxed structure of ZrPaI2, computed with PBE.

Computed properties:
- ΔE_f (raw) (meV/atom) = -99
- magnetization (μB per cell) = 1.5

a = 3.5210 Å, b = 3.5210 Å, c = 31.7280 Å
α = 90.00°, β = 90.00°, γ = 120.00°
With the nearest neighbours (Å) after each atom.
Space group R-3m (No. 166, hexagonal axes)
Unique sites:
Zr 0.0000 0.0000 0.0000 x3  6 I 2.95
Pa 0.0000 0.0000 0.5000 x3  2 I 3.15, 6 Pa 3.52
I 0.0000 0.0000 0.4007 x6  3 Zr 2.95, 1 Pa 3.15

***

# 2
A relaxed structure of PbI3, computed with PBE.

Computed properties:
- ΔE_f (raw) (meV/atom) = -61
- magnetization (μB per cell) = 4.0

a = 8.3163 Å, b = 8.3163 Å, c = 8.3163 Å
α = 90.00°, β = 90.00°, γ = 90.00°
With the nearest neighbours (Å) after each atom.
Space group Fm-3m (No. 225)
Unique sites:
Pb 0.0000 0.0000 0.0000 x4  8 I 3.60
I 0.0000 0.0000 0.5000 x4  8 I 3.60
I 0.2500 0.2500 0.2500 x8  4 Pb 3.60, 4 I 3.60

***

# 3
A relaxed structure of PbI3, computed with PBE.

Computed properties:
- ΔE_f (raw) (meV/atom) = -298
- magnetization (μB per cell) = 0.0

a = 4.4393 Å, b = 9.7250 Å, c = 8.0554 Å
α = 90.00°, β = 90.00°, γ = 90.00°
With the nearest neighbours (Å) after each atom.
Space group Imm2 (No. 44)
Unique sites:
Pb 0.0000 0.0000 0.0000 x2  6 I 3.27-3.29
I 0.0000 0.3159 0.2972 x4  2 Pb 3.29, 1 I 3.58
I 0.0000 0.5000 0.7979 x2  2 Pb 3.27

***

# 4
A relaxed structure of PbI3, computed with PBE.

Computed properties:
- ΔE_f (raw) (meV/atom) = -256
- magnetization (μB per cell) = 0.0

a = 10.2701 Å, b = 10.2701 Å, c = 6.3673 Å
α = 90.00°, β = 90.00°, γ = 90.00°
With the nearest neighbours (Å) after each atom.
Space group I-42d (No. 122)
Unique sites:
Pb 0.0000 0.0000 0.0000 x4  6 I 3.18-3.43
I 0.0000 0.0000 0.5000 x4  2 Pb 3.18
I 0.2082 0.2500 0.1250 x8  2 I 3.30, 2 Pb 3.43

***

# 5
A relaxed structure of Pd3PbI, computed with PBE.

Computed properties:
- ΔE_f (raw) (meV/atom) = 377
- ΔE to the lowest computed polymorph (eV/atom) = 0.0000
- magnetization (μB per cell) = 0.0

a = 5.0444 Å, b = 5.0444 Å, c = 5.0444 Å
α = 90.00°, β = 90.00°, γ = 90.00°
With the nearest neighbours (Å) after each atom.
Space group Pm-3m (No. 221)
Unique sites:
Pd 0.0000 0.0000 0.5000 x3  2 I 2.52
Pb 0.5000 0.5000 0.5000 x1  12 Pd 3.57
I 0.0000 0.0000 0.0000 x1  6 Pd 2.52

***

# 6
A relaxed structure of PdPbI2, computed with PBE.

Computed properties:
- ΔE_f (raw) (meV/atom) = 10
- ΔE to the lowest computed polymorph (eV/atom) = 0.1007
- magnetization (μB per cell) = 0.0

a = 7.7307 Å, b = 7.7307 Å, c = 7.7307 Å
α = 90.00°, β = 90.00°, γ = 90.00°
With the nearest neighbours (Å) after each atom.
Space group Fm-3m (No. 225)
Unique sites:
Pd 0.0000 0.0000 0.0000 x4  8 I 3.35
Pb 0.0000 0.0000 0.5000 x4  8 I 3.35
I 0.2500 0.2500 0.2500 x8  4 Pb 3.35, 4 Pd 3.35

***

# 7
A relaxed structure of Pd2PbI, computed with PBE.

Computed properties:
- ΔE_f (raw) (meV/atom) = -4
- ΔE to the lowest computed polymorph (eV/atom) = 0.0000
- magnetization (μB per cell) = 0.0

a = 7.0396 Å, b = 7.0396 Å, c = 7.0396 Å
α = 90.00°, β = 90.00°, γ = 90.00°
With the nearest neighbours (Å) after each atom.
Space group Fm-3m (No. 225)
Unique sites:
Pd 0.2500 0.2500 0.2500 x8  4 Pb 3.05, 4 I 3.05
Pb 0.0000 0.0000 0.0000 x4  8 Pd 3.05
I 0.0000 0.0000 0.5000 x4  8 Pd 3.05

***

# 8
A relaxed structure of Pd2PbI, computed with PBE.

Computed properties:
- ΔE_f (raw) (meV/atom) = 98
- ΔE to the lowest computed polymorph (eV/atom) = 0.1023
- magnetization (μB per cell) = 0.0

a = 7.6341 Å, b = 7.6341 Å, c = 6.5042 Å
α = 90.00°, β = 90.00°, γ = 90.00°
With the nearest neighbours (Å) after each atom.
Space group I-42d (No. 122)
Unique sites:
Pd 0.2480 0.2500 0.1250 x8  2 I 2.81, 2 Pb 2.83
Pb 0.0000 0.0000 0.5000 x4  4 Pd 2.83
I 0.0000 0.0000 0.0000 x4  4 Pd 2.81

***

# 9
A relaxed structure of Pd5Pb3I12, computed with PBE.

Computed properties:
- ΔE_f (raw) (meV/atom) = -230
- magnetization (μB per cell) = 0.0

a = 17.7303 Å, b = 17.7303 Å, c = 17.7303 Å
α = 90.00°, β = 90.00°, γ = 90.00°
With the nearest neighbours (Å) after each atom.
Space group Ia-3d (No. 230)
Unique sites:
Pd 0.0000 0.0000 0.0000 x16  6 I 2.83
Pd 0.0000 0.2500 0.3750 x24  4 I 2.68
Pb 0.0000 0.2500 0.1250 x24  8 I 3.40-3.53
I 0.0279 0.0540 0.6475 x96  2 Pd 2.68-2.83

***

# 10
A relaxed structure of PdPbI2, computed with PBE.

Computed properties:
- ΔE_f (raw) (meV/atom) = -90
- ΔE to the lowest computed polymorph (eV/atom) = 0.0000
- magnetization (μB per cell) = 0.0

a = 6.9884 Å, b = 6.9884 Å, c = 12.8019 Å
α = 90.00°, β = 90.00°, γ = 90.00°
With the nearest neighbours (Å) after each atom.
Space group I-42d (No. 122)
Unique sites:
Pd 0.0000 0.0000 0.0000 x4  4 I 2.74
Pb 0.0000 0.0000 0.5000 x4  4 I 3.18
I 0.1958 0.2500 0.1250 x8  2 Pd 2.74

***

# 11
A relaxed structure of PdPb3I, computed with PBE.

Computed properties:
- ΔE_f (raw) (meV/atom) = -22
- ΔE to the lowest computed polymorph (eV/atom) = 0.0000
- magnetization (μB per cell) = 0.0

a = 5.4853 Å, b = 5.4853 Å, c = 5.4853 Å
α = 90.00°, β = 90.00°, γ = 90.00°
With the nearest neighbours (Å) after each atom.
Space group Pm-3m (No. 221)
Unique sites:
Pd 0.0000 0.0000 0.0000 x1  6 Pb 2.74
Pb 0.0000 0.0000 0.5000 x3  2 Pd 2.74
I 0.5000 0.5000 0.5000 x1  12 Pb 3.88

***

# 12
A relaxed structure of Pd3PbI, computed with PBE.

Computed properties:
- ΔE_f (raw) (meV/atom) = 596
- ΔE to the lowest computed polymorph (eV/atom) = 0.2193
- magnetization (μB per cell) = 0.0

a = 5.1496 Å, b = 5.1496 Å, c = 5.1496 Å
α = 90.00°, β = 90.00°, γ = 90.00°
With the nearest neighbours (Å) after each atom.
Space group Pm-3m (No. 221)
Unique sites:
Pd 0.0000 0.0000 0.5000 x3  2 Pb 2.57
Pb 0.0000 0.0000 0.0000 x1  6 Pd 2.57
I 0.5000 0.5000 0.5000 x1  12 Pd 3.64

***

# 13
A relaxed structure of PdRuPb2I, computed with PBE.

Computed properties:
- ΔE_f (raw) (meV/atom) = 1380
- magnetization (μB per cell) = 2.1

a = 6.0232 Å, b = 6.0232 Å, c = 4.8688 Å
α = 90.00°, β = 90.00°, γ = 90.00°
With the nearest neighbours (Å) after each atom.
Space group P4/mmm (No. 123)
Unique sites:
Pd 0.0000 0.0000 0.0000 x1  2 I 2.43
Ru 0.5000 0.5000 0.0000 x1  8 Pb 3.87, 4 Pd 4.26
Pb 0.0000 0.5000 0.5000 x2  2 I 3.01
I 0.0000 0.0000 0.5000 x1  2 Pd 2.43

***

# 14
A relaxed structure of SbPdPbI2, computed with PBE.

Computed properties:
- ΔE_f (raw) (meV/atom) = 724
- ΔE to the lowest computed polymorph (eV/atom) = 0.6367
- magnetization (μB per cell) = 2.3

a = 6.1908 Å, b = 6.1908 Å, c = 6.0365 Å
α = 90.00°, β = 90.00°, γ = 90.00°
With the nearest neighbours (Å) after each atom.
Space group P4/mmm (No. 123)
Unique sites:
Sb 0.0000 0.0000 0.0000 x1  2 Pb 3.02
Pd 0.5000 0.5000 0.0000 x1  8 I 4.32, 4 Sb 4.38
Pb 0.0000 0.0000 0.5000 x1  2 Sb 3.02, 4 I 3.10
I 0.0000 0.5000 0.5000 x2  2 Pb 3.10

***

# 15
A relaxed structure of Sb2PdPbI, computed with PBE.

Computed properties:
- ΔE_f (raw) (meV/atom) = 224
- ΔE to the lowest computed polymorph (eV/atom) = 0.0000
- magnetization (μB per cell) = 0.4

a = 5.2457 Å, b = 5.2457 Å, c = 5.6609 Å
α = 90.00°, β = 90.00°, γ = 90.00°
With the nearest neighbours (Å) after each atom.
Space group P4/mmm (No. 123)
Unique sites:
Sb 0.0000 0.5000 0.0000 x2  2 Pd 2.62
Pd 0.0000 0.0000 0.0000 x1  4 Sb 2.62, 2 I 2.83
Pb 0.5000 0.5000 0.5000 x1  4 I 3.71, 8 Sb 3.86
I 0.0000 0.0000 0.5000 x1  2 Pd 2.83

***

# 16
A relaxed structure of Sb2PdPbI, computed with PBE.

Computed properties:
- ΔE_f (raw) (meV/atom) = 1051
- ΔE to the lowest computed polymorph (eV/atom) = 0.8271
- magnetization (μB per cell) = 0.0

a = 5.8131 Å, b = 5.8131 Å, c = 6.0607 Å
α = 90.00°, β = 90.00°, γ = 90.00°
With the nearest neighbours (Å) after each atom.
Space group P4/mmm (No. 123)
Unique sites:
Sb 0.0000 0.5000 0.0000 x2  2 Pb 2.91
Pd 0.0000 0.0000 0.5000 x1  4 I 4.11, 8 Sb 4.20
Pb 0.5000 0.5000 0.0000 x1  4 Sb 2.91, 2 I 3.03
I 0.5000 0.5000 0.5000 x1  2 Pb 3.03

***

# 17
A relaxed structure of SbPdPbI2, computed with PBE.

Computed properties:
- ΔE_f (raw) (meV/atom) = 88
- ΔE to the lowest computed polymorph (eV/atom) = 0.0000
- magnetization (μB per cell) = 0.0

a = 5.4719 Å, b = 5.4719 Å, c = 5.3726 Å
α = 90.00°, β = 90.00°, γ = 90.00°
With the nearest neighbours (Å) after each atom.
Space group P4/mmm (No. 123)
Unique sites:
Sb 0.0000 0.0000 0.0000 x1  2 Pd 2.69
Pd 0.0000 0.0000 0.5000 x1  2 Sb 2.69, 4 I 2.74
Pb 0.5000 0.5000 0.0000 x1  8 I 3.83, 4 Sb 3.87
I 0.0000 0.5000 0.5000 x2  2 Pd 2.74

***

# 18
A relaxed structure of Te2PdPbI, computed with PBE.

Computed properties:
- ΔE_f (raw) (meV/atom) = 6
- ΔE to the lowest computed polymorph (eV/atom) = 0.0000
- magnetization (μB per cell) = 0.0

a = 5.3483 Å, b = 5.3483 Å, c = 5.5086 Å
α = 90.00°, β = 90.00°, γ = 90.00°
With the nearest neighbours (Å) after each atom.
Space group P4/mmm (No. 123)
Unique sites:
Te 0.0000 0.5000 0.0000 x2  2 Pd 2.67
Pd 0.0000 0.0000 0.0000 x1  4 Te 2.67, 2 I 2.75
Pb 0.5000 0.5000 0.5000 x1  4 I 3.78, 8 Te 3.84
I 0.0000 0.0000 0.5000 x1  2 Pd 2.75

***

# 19
A relaxed structure of Te2PdPbI, computed with PBE.

Computed properties:
- ΔE_f (raw) (meV/atom) = 785
- ΔE to the lowest computed polymorph (eV/atom) = 0.7790
- magnetization (μB per cell) = 1.7

a = 5.9042 Å, b = 5.9042 Å, c = 6.1134 Å
α = 90.00°, β = 90.00°, γ = 90.00°
With the nearest neighbours (Å) after each atom.
Space group P4/mmm (No. 123)
Unique sites:
Te 0.0000 0.5000 0.0000 x2  2 Pb 2.95
Pd 0.0000 0.0000 0.5000 x1  4 I 4.17, 8 Te 4.25
Pb 0.5000 0.5000 0.0000 x1  4 Te 2.95, 2 I 3.06
I 0.5000 0.5000 0.5000 x1  2 Pb 3.06

***

# 20
A relaxed structure of TlPdPbI2, computed with PBE.

Computed properties:
- ΔE_f (raw) (meV/atom) = 345
- magnetization (μB per cell) = 0.0

a = 6.2701 Å, b = 6.2701 Å, c = 5.1386 Å
α = 90.00°, β = 90.00°, γ = 90.00°
With the nearest neighbours (Å) after each atom.
Space group P4/mmm (No. 123)
Unique sites:
Tl 0.0000 0.0000 0.0000 x1  2 Pd 2.57
Pd 0.0000 0.0000 0.5000 x1  2 Tl 2.57
Pb 0.5000 0.5000 0.5000 x1  8 I 4.05, 4 Pd 4.43
I 0.0000 0.5000 0.0000 x2  2 Tl 3.14

***

# 21
A relaxed structure of Tl2PdPbI, computed with PBE.

Computed properties:
- ΔE_f (raw) (meV/atom) = -225
- magnetization (μB per cell) = 0.0

a = 5.4742 Å, b = 5.4742 Å, c = 5.4230 Å
α = 90.00°, β = 90.00°, γ = 90.00°
With the nearest neighbours (Å) after each atom.
Space group P4/mmm (No. 123)
Unique sites:
Tl 0.0000 0.5000 0.0000 x2  2 Pd 2.74
Pd 0.0000 0.0000 0.0000 x1  2 Pb 2.71, 4 Tl 2.74
Pb 0.0000 0.0000 0.5000 x1  2 Pd 2.71
I 0.5000 0.5000 0.5000 x1  8 Tl 3.85, 4 Pb 3.87

***

# 22
A relaxed structure of YPd2PbI, computed with PBE.

Computed properties:
- ΔE_f (raw) (meV/atom) = 134
- magnetization (μB per cell) = 0.0

a = 4.9955 Å, b = 4.9955 Å, c = 5.7101 Å
α = 90.00°, β = 90.00°, γ = 90.00°
With the nearest neighbours (Å) after each atom.
Space group P4/mmm (No. 123)
Unique sites:
Y 0.0000 0.0000 0.0000 x1  2 I 2.86
Pd 0.0000 0.5000 0.5000 x2  2 I 2.50
Pb 0.5000 0.5000 0.0000 x1  4 Y 3.53, 8 Pd 3.79
I 0.0000 0.0000 0.5000 x1  4 Pd 2.50

***

# 23
A relaxed structure of Pm6PbI8, computed with PBE.

Computed properties:
- ΔE_f (raw) (meV/atom) = -1072
- magnetization (μB per cell) = 0.0

a = 7.6857 Å, b = 7.6857 Å, c = 34.7649 Å
α = 90.00°, β = 90.00°, γ = 120.00°
With the nearest neighbours (Å) after each atom.
Space group R-3 (No. 148, hexagonal axes)
Unique sites:
Pm 0.0001 0.3347 0.0503 x18  5 I 3.10-3.25, 1 Pb 3.11
Pb 0.0000 0.0000 0.0000 x3  6 Pm 3.11
I 0.0000 0.0000 0.3333 x6  6 Pm 3.10
I 0.0000 0.3298 0.8927 x18  3 Pm 3.23-3.25

***

# 24
A relaxed structure of Pm3Pb2I, computed with PBE.

Computed properties:
- ΔE_f (raw) (meV/atom) = -606
- magnetization (μB per cell) = 0.0

a = 3.6973 Å, b = 3.6973 Å, c = 13.0808 Å
α = 90.00°, β = 90.00°, γ = 90.00°
With the nearest neighbours (Å) after each atom.
Space group P4/mmm (No. 123)
Unique sites:
Pm 0.0000 0.0000 0.0000 x1  8 Pb 3.43, 4 Pm 3.70
Pm 0.0000 0.0000 0.3334 x2  4 Pb 3.38, 4 I 3.40, 4 Pm 3.70
Pb 0.5000 0.5000 0.1699 x2  8 Pm 3.38-3.43, 4 Pb 3.70
I 0.5000 0.5000 0.5000 x1  8 Pm 3.40, 4 I 3.70